{"formula": "Al6ZnAg", "functional": "PBE-GGA", "state": "relaxed", "lattice_angstrom": [[4.164, 0.000, 0.000], [0.000, 6.895, -3.948], [0.000, -1.455, 5.453]], "species": ["Al", "Al", "Al", "Al", "Al", "Al", "Zn", "Ag"], "frac_coords": [[0.500, 0.126, 0.252], [0.000, 0.370, 0.740], [0.000, 0.374, 0.250], [0.500, 0.627, 0.749], [0.000, 0.877, 0.250], [0.500, 0.122, 0.749], [0.000, 0.881, 0.762], [0.500, 0.624, 0.248]], "polymorph_energy_mev_per_atom": 0.0, "energy_ev_per_atom": -3.31, "volume_a3_per_cell": 133, "delta_e_f_ev_per_atom": 0.015, "density_g_cm3": 4.20}